# 1
# PBE HoMg2Cu, relaxed
# - ΔH_f (0 K) (eV per atom) = 0.25
# - total magnetization (Bohr magnetons per cell) = 0.0
# - crystal system = trigonal
data_HoMg2Cu
_chemical_formula_sum 'Ho1 Mg2 Cu1'
_cell_length_a 3.1790
_cell_length_b 3.1790
_cell_length_c 10.6120
_cell_angle_alpha 81.39
_cell_angle_beta 81.39
_cell_angle_gamma 60.00
_symmetry_space_group_name_H-M 'P 1'
_symmetry_Int_Tables_number 1
_symmetry_space_group_name_Hall 'P 1'
loop_
_atom_site_label
_atom_site_type_symbol
_atom_site_fract_x
_atom_site_fract_y
_atom_site_fract_z
Cu1 Cu 0.5000 0.5000 0.5000
Ho1 Ho 0.0000 0.0000 0.0000
Mg1 Mg 0.8973 0.8973 0.3082
Mg2 Mg 0.1027 0.1027 0.6918


# 2
# PBE HoMgCu17, relaxed
# - ΔH_f (0 K) (eV per atom) = -0.05
# - total magnetization (Bohr magnetons per cell) = 0.0
# - crystal system = trigonal
data_HoMgCu17
_chemical_formula_sum 'Ho1 Mg1 Cu17'
_cell_length_a 6.4117
_cell_length_b 6.4117
_cell_length_c 6.4117
_cell_angle_alpha 82.68
_cell_angle_beta 82.68
_cell_angle_gamma 82.68
_symmetry_space_group_name_H-M 'P 1'
_symmetry_Int_Tables_number 1
_symmetry_space_group_name_Hall 'P 1'
loop_
_atom_site_label
_atom_site_type_symbol
_atom_site_fract_x
_atom_site_fract_y
_atom_site_fract_z
Cu1 Cu 0.1600 0.6505 0.6505
Cu2 Cu 0.2984 0.0020 0.6980
Cu3 Cu 0.9041 0.9041 0.9041
Cu4 Cu 0.8515 0.3448 0.3448
Cu5 Cu 0.3448 0.8515 0.3448
Cu6 Cu 0.1011 0.1011 0.1011
Cu7 Cu 0.0020 0.2984 0.6980
Cu8 Cu 0.9961 0.9961 0.5015
Cu9 Cu 0.6505 0.1600 0.6505
Cu10 Cu 0.9961 0.5015 0.9961
Cu11 Cu 0.5015 0.9961 0.9961
Cu12 Cu 0.2984 0.6980 0.0020
Cu13 Cu 0.6980 0.0020 0.2984
Cu14 Cu 0.0020 0.6980 0.2984
Cu15 Cu 0.6980 0.2984 0.0020
Cu16 Cu 0.6505 0.6505 0.1600
Cu17 Cu 0.3448 0.3448 0.8515
Mg1 Mg 0.3422 0.3422 0.3422
Ho1 Ho 0.6600 0.6600 0.6600


# 3
# PBE Ho2MgCu3, relaxed
# - ΔH_f (0 K) (eV per atom) = -0.19
# - total magnetization (Bohr magnetons per cell) = 0.0
# - crystal system = tetragonal
# - relative energy among the computed polymorphs (meV per atom) = 33
data_Ho2MgCu3
_chemical_formula_sum 'Ho2 Mg1 Cu3'
_cell_length_a 3.3671
_cell_length_b 3.3671
_cell_length_c 10.0901
_cell_angle_alpha 90.00
_cell_angle_beta 90.00
_cell_angle_gamma 90.00
_symmetry_space_group_name_H-M 'P 1'
_symmetry_Int_Tables_number 1
_symmetry_space_group_name_Hall 'P 1'
loop_
_atom_site_label
_atom_site_type_symbol
_atom_site_fract_x
_atom_site_fract_y
_atom_site_fract_z
Cu1 Cu 0.0000 0.0000 0.6486
Cu2 Cu 0.0000 0.0000 0.0000
Cu3 Cu 0.0000 0.0000 0.3514
Ho1 Ho 0.5000 0.5000 0.1748
Ho2 Ho 0.5000 0.5000 0.8252
Mg1 Mg 0.5000 0.5000 0.5000


# 4
# PBE HoMg4Cu2, relaxed
# - ΔH_f (0 K) (eV per atom) = -0.12
# - total magnetization (Bohr magnetons per cell) = 0.0
# - crystal system = tetragonal
# - relative energy among the computed polymorphs (meV per atom) = 0
data_HoMg4Cu2
_chemical_formula_sum 'Ho2 Mg8 Cu4'
_cell_length_a 3.4162
_cell_length_b 9.1279
_cell_length_c 9.1279
_cell_angle_alpha 90.00
_cell_angle_beta 90.00
_cell_angle_gamma 90.00
_symmetry_space_group_name_H-M 'P 1'
_symmetry_Int_Tables_number 1
_symmetry_space_group_name_Hall 'P 1'
loop_
_atom_site_label
_atom_site_type_symbol
_atom_site_fract_x
_atom_site_fract_y
_atom_site_fract_z
Cu1 Cu 0.5000 0.3170 0.3170
Cu2 Cu 0.5000 0.6830 0.6830
Cu3 Cu 0.0000 0.8170 0.1830
Cu4 Cu 0.0000 0.1830 0.8170
Mg1 Mg 0.0000 0.0842 0.3176
Mg2 Mg 0.5000 0.4158 0.8176
Mg3 Mg 0.5000 0.1824 0.5842
Mg4 Mg 0.0000 0.3176 0.0842
Mg5 Mg 0.0000 0.9158 0.6824
Mg6 Mg 0.5000 0.8176 0.4158
Mg7 Mg 0.5000 0.5842 0.1824
Mg8 Mg 0.0000 0.6824 0.9158
Ho1 Ho 0.0000 0.5000 0.5000
Ho2 Ho 0.5000 0.0000 0.0000


# 5
# PBE HoMg3Cu2, relaxed
# - ΔH_f (0 K) (eV per atom) = -0.09
# - total magnetization (Bohr magnetons per cell) = 0.0
# - crystal system = monoclinic
data_HoMg3Cu2
_chemical_formula_sum 'Ho2 Mg6 Cu4'
_cell_length_a 3.7667
_cell_length_b 7.6997
_cell_length_c 9.2759
_cell_angle_alpha 76.97
_cell_angle_beta 78.29
_cell_angle_gamma 75.84
_symmetry_space_group_name_H-M 'P 1'
_symmetry_Int_Tables_number 1
_symmetry_space_group_name_Hall 'P 1'
loop_
_atom_site_label
_atom_site_type_symbol
_atom_site_fract_x
_atom_site_fract_y
_atom_site_fract_z
Cu1 Cu 0.2264 0.5988 0.9483
Cu2 Cu 0.2267 0.0932 0.4534
Cu3 Cu 0.7736 0.4012 0.0517
Cu4 Cu 0.7733 0.9068 0.5466
Ho1 Ho 0.1436 0.4413 0.2714
Ho2 Ho 0.8564 0.5587 0.7286
Mg1 Mg 0.1462 0.9408 0.7667
Mg2 Mg 0.5741 0.7885 0.0634
Mg3 Mg 0.4259 0.2115 0.9366
Mg4 Mg 0.5753 0.2699 0.5795
Mg5 Mg 0.4247 0.7301 0.4205
Mg6 Mg 0.8538 0.0592 0.2333


# 6
# PBE HoMg8Cu2, relaxed
# - ΔH_f (0 K) (eV per atom) = 0.03
# - total magnetization (Bohr magnetons per cell) = 0.0
# - crystal system = monoclinic
data_HoMg8Cu2
_chemical_formula_sum 'Ho1 Mg8 Cu2'
_cell_length_a 5.1754
_cell_length_b 7.2885
_cell_length_c 7.2885
_cell_angle_alpha 113.14
_cell_angle_beta 81.78
_cell_angle_gamma 81.78
_symmetry_space_group_name_H-M 'P 1'
_symmetry_Int_Tables_number 1
_symmetry_space_group_name_Hall 'P 1'
loop_
_atom_site_label
_atom_site_type_symbol
_atom_site_fract_x
_atom_site_fract_y
_atom_site_fract_z
Mg1 Mg 0.2876 0.4089 0.4089
Mg2 Mg 0.5000 0.7368 0.2632
Mg3 Mg 0.7124 0.5911 0.5911
Mg4 Mg 0.0844 0.9276 0.6735
Mg5 Mg 0.9156 0.3265 0.0724
Mg6 Mg 0.5000 0.2632 0.7368
Mg7 Mg 0.9156 0.0724 0.3265
Mg8 Mg 0.0844 0.6735 0.9276
Cu1 Cu 0.0000 0.3086 0.6914
Cu2 Cu 0.0000 0.6914 0.3086
Ho1 Ho 0.5000 0.0000 0.0000


# 7
# PBE Ho4MgCu2, relaxed
# - ΔH_f (0 K) (eV per atom) = 0.05
# - total magnetization (Bohr magnetons per cell) = 0.0
# - crystal system = trigonal
data_Ho4MgCu2
_chemical_formula_sum 'Ho4 Mg1 Cu2'
_cell_length_a 4.9270
_cell_length_b 4.9270
_cell_length_c 9.0539
_cell_angle_alpha 74.21
_cell_angle_beta 74.21
_cell_angle_gamma 60.00
_symmetry_space_group_name_H-M 'P 1'
_symmetry_Int_Tables_number 1
_symmetry_space_group_name_Hall 'P 1'
loop_
_atom_site_label
_atom_site_type_symbol
_atom_site_fract_x
_atom_site_fract_y
_atom_site_fract_z
Ho1 Ho 0.2936 0.2936 0.1191
Ho2 Ho 0.7064 0.7064 0.8809
Ho3 Ho 0.1146 0.1146 0.6561
Ho4 Ho 0.8854 0.8854 0.3439
Mg1 Mg 0.5000 0.5000 0.5000
Cu1 Cu 0.4021 0.4021 0.7938
Cu2 Cu 0.5979 0.5979 0.2062


# 8
# PBE Ho2MgCu3, relaxed
# - ΔH_f (0 K) (eV per atom) = -0.22
# - total magnetization (Bohr magnetons per cell) = 0.0
# - crystal system = trigonal
# - relative energy among the computed polymorphs (meV per atom) = 0
data_Ho2MgCu3
_chemical_formula_sum 'Ho4 Mg2 Cu6'
_cell_length_a 4.7662
_cell_length_b 4.7662
_cell_length_c 11.6140
_cell_angle_alpha 90.00
_cell_angle_beta 90.00
_cell_angle_gamma 120.00
_symmetry_space_group_name_H-M 'P 1'
_symmetry_Int_Tables_number 1
_symmetry_space_group_name_Hall 'P 1'
loop_
_atom_site_label
_atom_site_type_symbol
_atom_site_fract_x
_atom_site_fract_y
_atom_site_fract_z
Ho1 Ho 0.0000 0.0000 0.0000
Ho2 Ho 0.6667 0.3333 0.8213
Ho3 Ho 0.3333 0.6667 0.1787
Ho4 Ho 0.0000 0.0000 0.5000
Cu1 Cu 0.3333 0.6667 0.4241
Cu2 Cu 0.0000 0.0000 0.7470
Cu3 Cu 0.6667 0.3333 0.5759
Cu4 Cu 0.6667 0.3333 0.0825
Cu5 Cu 0.3333 0.6667 0.9175
Cu6 Cu 0.0000 0.0000 0.2530
Mg1 Mg 0.6667 0.3333 0.3360
Mg2 Mg 0.3333 0.6667 0.6640


# 9
# PBE HoMg2Cu2, relaxed
# - ΔH_f (0 K) (eV per atom) = -0.13
# - total magnetization (Bohr magnetons per cell) = 0.0
# - crystal system = orthorhombic
data_HoMg2Cu2
_chemical_formula_sum 'Ho2 Mg4 Cu4'
_cell_length_a 3.6632
_cell_length_b 6.7653
_cell_length_c 8.3265
_cell_angle_alpha 90.00
_cell_angle_beta 90.00
_cell_angle_gamma 105.71
_symmetry_space_group_name_H-M 'P 1'
_symmetry_Int_Tables_number 1
_symmetry_space_group_name_Hall 'P 1'
loop_
_atom_site_label
_atom_site_type_symbol
_atom_site_fract_x
_atom_site_fract_y
_atom_site_fract_z
Mg1 Mg 0.8792 0.7584 0.6944
Mg2 Mg 0.3057 0.6115 0.9586
Mg3 Mg 0.1208 0.2416 0.1944
Mg4 Mg 0.6943 0.3885 0.4586
Cu1 Cu 0.9482 0.8963 0.0340
Cu2 Cu 0.7768 0.5535 0.1773
Cu3 Cu 0.0518 0.1037 0.5340
Cu4 Cu 0.2232 0.4465 0.6773
Ho1 Ho 0.5825 0.1650 0.8402
Ho2 Ho 0.4175 0.8350 0.3402


# 10
# PBE HoMg8Cu4, relaxed
# - ΔH_f (0 K) (eV per atom) = -0.10
# - total magnetization (Bohr magnetons per cell) = 0.0
# - crystal system = tetragonal
data_HoMg8Cu4
_chemical_formula_sum 'Ho1 Mg8 Cu4'
_cell_length_a 5.3635
_cell_length_b 7.2447
_cell_length_c 7.2447
_cell_angle_alpha 82.12
_cell_angle_beta 68.27
_cell_angle_gamma 68.27
_symmetry_space_group_name_H-M 'P 1'
_symmetry_Int_Tables_number 1
_symmetry_space_group_name_Hall 'P 1'
loop_
_atom_site_label
_atom_site_type_symbol
_atom_site_fract_x
_atom_site_fract_y
_atom_site_fract_z
Mg1 Mg 0.3409 0.6591 0.6591
Mg2 Mg 0.5000 0.2153 0.7847
Mg3 Mg 0.7153 0.7847 0.7847
Mg4 Mg 0.0000 0.3409 0.6591
Mg5 Mg 0.6591 0.3409 0.3409
Mg6 Mg 0.5000 0.7847 0.2153
Mg7 Mg 0.0000 0.6591 0.3409
Mg8 Mg 0.2847 0.2153 0.2153
Cu1 Cu 0.5000 0.5000 0.0000
Cu2 Cu 0.5000 0.0000 0.5000
Cu3 Cu 0.0000 0.0000 0.5000
Cu4 Cu 0.0000 0.5000 0.0000
Ho1 Ho 0.0000 0.0000 0.0000


# 11
# PBE HoMgCu, relaxed
# - ΔH_f (0 K) (eV per atom) = -0.06
# - total magnetization (Bohr magnetons per cell) = 0.0
# - crystal system = hexagonal
data_HoMgCu
_chemical_formula_sum 'Ho1 Mg1 Cu1'
_cell_length_a 3.3638
_cell_length_b 4.6856
_cell_length_c 4.6856
_cell_angle_alpha 120.00
_cell_angle_beta 90.00
_cell_angle_gamma 90.00
_symmetry_space_group_name_H-M 'P 1'
_symmetry_Int_Tables_number 1
_symmetry_space_group_name_Hall 'P 1'
loop_
_atom_site_label
_atom_site_type_symbol
_atom_site_fract_x
_atom_site_fract_y
_atom_site_fract_z
Mg1 Mg 0.1666 0.3333 0.6667
Cu1 Cu 0.1666 0.0000 0.0000
Ho1 Ho 0.6668 0.6667 0.3333


# 12
# PBE HoMg6Cu6, relaxed
# - ΔH_f (0 K) (eV per atom) = -0.12
# - total magnetization (Bohr magnetons per cell) = 0.0
# - crystal system = orthorhombic
data_HoMg6Cu6
_chemical_formula_sum 'Ho1 Mg6 Cu6'
_cell_length_a 5.2390
_cell_length_b 6.9820
_cell_length_c 6.9820
_cell_angle_alpha 81.39
_cell_angle_beta 67.96
_cell_angle_gamma 67.96
_symmetry_space_group_name_H-M 'P 1'
_symmetry_Int_Tables_number 1
_symmetry_space_group_name_Hall 'P 1'
loop_
_atom_site_label
_atom_site_type_symbol
_atom_site_fract_x
_atom_site_fract_y
_atom_site_fract_z
Ho1 Ho 0.0000 0.0000 0.0000
Mg1 Mg 0.0000 0.6625 0.3375
Mg2 Mg 0.0000 0.3375 0.6625
Mg3 Mg 0.3454 0.6546 0.6546
Mg4 Mg 0.6546 0.3454 0.3454
Mg5 Mg 0.3121 0.1879 0.1879
Mg6 Mg 0.6879 0.8121 0.8121
Cu1 Cu 0.5000 0.2294 0.7706
Cu2 Cu 0.0000 0.0000 0.5000
Cu3 Cu 0.5000 0.5000 0.0000
Cu4 Cu 0.5000 0.7706 0.2294
Cu5 Cu 0.5000 0.0000 0.5000
Cu6 Cu 0.0000 0.5000 0.0000


| no. | calculated volume (Å³ per cell) |
| --- | --- |
| 1 | 91.5 |
| 2 | 257.6 |
| 3 | 114.4 |
| 4 | 284.6 |
| 5 | 251.0 |
| 6 | 244.1 |
| 7 | 180.7 |
| 8 | 228.5 |
| 9 | 198.6 |
| 10 | 242.9 |
| 11 | 64.0 |
| 12 | 219.4 |